{"formula": "CaBi2PPb", "functional": "PBEsol", "state": "optimized geometry", "lattice": [[5.691, 0.000, 0.000], [0.000, 5.691, 0.000], [0.000, 0.000, 5.808]], "species": ["Ca", "Bi", "Bi", "P", "Pb"], "fractional_positions": [[0.000, 0.000, 0.000], [0.000, 0.500, 0.500], [0.500, 0.000, 0.500], [0.500, 0.500, 0.000], [0.000, 0.000, 0.500]], "delta_e_f_ev_per_atom": 0.848, "dft_energy_ev_per_atom": -3.251}

=====

{"formula": "CaSnBiPb2", "functional": "PBEsol", "state": "optimized geometry", "lattice": [[5.679, 0.000, 0.000], [0.000, 5.679, 0.000], [0.000, 0.000, 5.682]], "species": ["Ca", "Sn", "Bi", "Pb", "Pb"], "fractional_positions": [[0.000, 0.000, 0.000], [0.500, 0.500, 0.500], [0.000, 0.000, 0.500], [0.000, 0.500, 0.000], [0.500, 0.000, 0.000]], "delta_e_f_ev_per_atom": 0.599, "dft_energy_ev_per_atom": -3.136}

=====

{"formula": "CaTcBi2Pb", "functional": "PBEsol", "state": "optimized geometry", "lattice": [[5.624, 0.000, 0.000], [0.000, 5.624, 0.000], [0.000, 0.000, 5.626]], "species": ["Ca", "Tc", "Bi", "Bi", "Pb"], "fractional_positions": [[0.000, 0.000, 0.000], [0.500, 0.500, 0.500], [0.000, 0.500, 0.000], [0.500, 0.000, 0.000], [0.000, 0.000, 0.500]], "delta_e_f_ev_per_atom": 1.488, "dft_energy_ev_per_atom": -3.706}

=====

{"formula": "Ca2BiPd2", "functional": "PBEsol", "state": "optimized geometry", "lattice": [[7.697, 0.000, 0.000], [0.000, 7.697, 0.000], [0.000, 0.000, 3.773]], "species": ["Ca", "Ca", "Ca", "Ca", "Bi", "Bi", "Pd", "Pd", "Pd", "Pd"], "fractional_positions": [[0.171, 0.329, 0.000], [0.329, 0.829, 0.000], [0.671, 0.171, 0.000], [0.829, 0.671, 0.000], [0.000, 0.000, 0.500], [0.500, 0.500, 0.500], [0.127, 0.627, 0.500], [0.373, 0.127, 0.500], [0.627, 0.873, 0.500], [0.873, 0.373, 0.500]], "delta_e_f_ev_per_atom": -0.676, "dft_energy_ev_per_atom": -4.770}